# Tb5Pr2Tm, optimized geometry, DFT PBE
data_Tb5Pr2Tm
_cell_length_a 5.084
_cell_length_b 5.084
_cell_length_c 10.750
_cell_angle_alpha 103.68
_cell_angle_beta 103.68
_cell_angle_gamma 90.00
_symmetry_space_group_name_H-M 'P 1'
_symmetry_Int_Tables_number 1
_symmetry_space_group_name_Hall 'P 1'
loop_
_atom_site_label
_atom_site_type_symbol
_atom_site_fract_x
_atom_site_fract_y
_atom_site_fract_z
Tb1 Tb 0.500 0.500 0.000
Tb2 Tb 0.378 0.878 0.756
Tb3 Tb 0.878 0.378 0.756
Tb4 Tb 0.622 0.122 0.244
Tb5 Tb 0.122 0.622 0.244
Pr1 Pr 0.750 0.750 0.500
Pr2 Pr 0.250 0.250 0.500
Tm1 Tm 0.000 0.000 0.000
# ρ   7.9 Mg/m³
# DFT formation energy   0.023 eV per atom
# DOS at the Fermi energy   12.30 states/eV/cell


# Nd3TeS3, optimized geometry, DFT PBE
data_Nd3TeS3
_cell_length_a 8.205
_cell_length_b 8.205
_cell_length_c 8.681
_cell_angle_alpha 61.80
_cell_angle_beta 61.80
_cell_angle_gamma 60.00
_symmetry_space_group_name_H-M 'P 1'
_symmetry_Int_Tables_number 1
_symmetry_space_group_name_Hall 'P 1'
loop_
_atom_site_label
_atom_site_type_symbol
_atom_site_fract_x
_atom_site_fract_y
_atom_site_fract_z
Nd1 Nd 0.288 0.526 0.291
Nd2 Nd 0.895 0.288 0.291
Nd3 Nd 0.526 0.895 0.291
Nd4 Nd 0.474 0.105 0.709
Nd5 Nd 0.105 0.712 0.709
Nd6 Nd 0.712 0.474 0.709
Te1 Te 0.330 0.330 0.009
Te2 Te 0.670 0.670 0.991
S1 S 0.384 0.835 0.670
S2 S 0.835 0.111 0.670
S3 S 0.111 0.384 0.670
S4 S 0.889 0.616 0.330
S5 S 0.165 0.889 0.330
S6 S 0.616 0.165 0.330
# ρ   5.1 Mg/m³
# VASP energy   -6.08 eV per atom
# DOS at the Fermi energy   5.78 states/eV/cell


# Na2ZnIn2, optimized geometry, DFT PBE
data_Na2ZnIn2
_cell_length_a 4.118
_cell_length_b 4.118
_cell_length_c 8.339
_cell_angle_alpha 75.71
_cell_angle_beta 75.71
_cell_angle_gamma 90.00
_symmetry_space_group_name_H-M 'P 1'
_symmetry_Int_Tables_number 1
_symmetry_space_group_name_Hall 'P 1'
loop_
_atom_site_label
_atom_site_type_symbol
_atom_site_fract_x
_atom_site_fract_y
_atom_site_fract_z
Na1 Na 0.750 0.250 0.500
Na2 Na 0.250 0.750 0.500
Zn1 Zn 0.000 0.000 0.000
In1 In 0.408 0.408 0.184
In2 In 0.592 0.592 0.816
# ρ   4.3 Mg/m³
# DFT formation energy   0.165 eV per atom
# DOS at the Fermi energy   1.66 states/eV/cell


# SrSnAu, optimized geometry, DFT PBE
data_SrSnAu
_cell_length_a 4.784
_cell_length_b 6.201
_cell_length_c 6.436
_cell_angle_alpha 77.52
_cell_angle_beta 68.18
_cell_angle_gamma 67.31
_symmetry_space_group_name_H-M 'P 1'
_symmetry_Int_Tables_number 1
_symmetry_space_group_name_Hall 'P 1'
loop_
_atom_site_label
_atom_site_type_symbol
_atom_site_fract_x
_atom_site_fract_y
_atom_site_fract_z
Sr1 Sr 0.552 0.211 0.685
Sr2 Sr 0.448 0.789 0.315
Sn1 Sn 0.835 0.235 0.094
Sn2 Sn 0.165 0.765 0.906
Au1 Au 0.164 0.380 0.291
Au2 Au 0.836 0.620 0.709
# ρ   8.2 Mg/m³
# DFT formation energy   -0.695 eV per atom
# DOS at the Fermi energy   2.62 states/eV/cell


no.,total moment (Bohr magnetons per cell)
1,0.00
2,0.00
3,0.00
4,0.00